DFT (PBE) results for a relaxed structure of PuPa3As4.

Properties
* ΔE_f: -8.455 eV per formula unit
* total moment: 4.420 μB per formula unit
* D(E_F): 17.3 states/eV per cell

Cell and atoms, written as extended XYZ:
```
8
Lattice="5.805 0.000 0.000 0.000 5.805 0.000 0.000 0.000 5.805" Properties=species:S:1:pos:R:3 pbc="T T T"
Pu 0.000 0.000 0.000
Pa 0.000 2.902 2.902
Pa 2.902 0.000 2.902
Pa 2.902 2.902 0.000
As 0.000 0.000 2.902
As 0.000 2.902 0.000
As 2.902 0.000 0.000
As 2.902 2.902 2.902
```